(1)
# BeCoNi2 | the Alexandria database | PBE | optimized geometry
data_BeCoNi2
_cell_length_a 2.519
_cell_length_b 2.519
_cell_length_c 6.263
_cell_angle_alpha 90.00
_cell_angle_beta 90.00
_cell_angle_gamma 90.00
_symmetry_space_group_name_H-M 'P 4/m m m'
_symmetry_Int_Tables_number 123
_symmetry_space_group_name_Hall '-P 4 2'
loop_
_atom_site_label
_atom_site_type_symbol
_atom_site_fract_x
_atom_site_fract_y
_atom_site_fract_z
Be1 Be 0.000 0.000 0.000
Co1 Co 0.000 0.000 0.500
Ni1 Ni 0.500 0.500 0.220
# - Density: 7.7 g/cm³
# - ΔE_f: -0.198 eV per atom
# - Calculated volume: 39.7 Å³ per cell

---

(2)
# Pm8Pd5Au | the Alexandria database | PBE | optimized geometry
data_Pm8Pd5Au
_cell_length_a 9.072
_cell_length_b 9.072
_cell_length_c 8.980
_cell_angle_alpha 90.00
_cell_angle_beta 90.00
_cell_angle_gamma 90.00
_symmetry_space_group_name_H-M 'I -4'
_symmetry_Int_Tables_number 82
loop_
_symmetry_equiv_pos_as_xyz
'x,y,z'
'y,-x,-z'
'-x,-y,z'
'-y,x,-z'
'x+1/2,y+1/2,z+1/2'
'y+1/2,-x+1/2,-z+1/2'
'-x+1/2,-y+1/2,z+1/2'
'-y+1/2,x+1/2,-z+1/2'
loop_
_atom_site_label
_atom_site_type_symbol
_atom_site_fract_x
_atom_site_fract_y
_atom_site_fract_z
Pm1 Pm 0.060 0.184 0.182
Pm2 Pm 0.061 0.307 0.567
Pd1 Pd 0.000 0.000 0.500
Pd2 Pd 0.125 0.252 0.876
Au1 Au 0.000 0.500 0.250
# - Density: 8.5 g/cm³
# - ΔE_f: -0.646 eV per atom
# - Calculated volume: 739.0 Å³ per cell

---

(3)
# CaAc3Os | the Alexandria database | PBE | optimized geometry
data_CaAc3Os
_cell_length_a 5.928
_cell_length_b 5.928
_cell_length_c 5.928
_cell_angle_alpha 90.00
_cell_angle_beta 90.00
_cell_angle_gamma 90.00
_symmetry_space_group_name_H-M 'P m -3 m'
_symmetry_Int_Tables_number 221
_symmetry_space_group_name_Hall '-P 4 2 3'
loop_
_atom_site_label
_atom_site_type_symbol
_atom_site_fract_x
_atom_site_fract_y
_atom_site_fract_z
Ca1 Ca 0.000 0.000 0.000
Ac1 Ac 0.000 0.500 0.500
Os1 Os 0.500 0.500 0.500
# - Density: 7.3 g/cm³
# - ΔE_f: -0.028 eV per atom
# - Calculated volume: 208.3 Å³ per cell

---

(4)
# Tm3Sb2O | the Alexandria database | PBE | optimized geometry
data_Tm3Sb2O
_cell_length_a 11.153
_cell_length_b 8.082
_cell_length_c 6.341
_cell_angle_alpha 90.00
_cell_angle_beta 90.00
_cell_angle_gamma 90.00
_symmetry_space_group_name_H-M 'C m c 21'
_symmetry_Int_Tables_number 36
loop_
_symmetry_equiv_pos_as_xyz
'x,y,z'
'-x,-y,z+1/2'
'-x,y,z'
'x,-y,z+1/2'
'x+1/2,y+1/2,z'
'-x+1/2,-y+1/2,z+1/2'
'-x+1/2,y+1/2,z'
'x+1/2,-y+1/2,z+1/2'
loop_
_atom_site_label
_atom_site_type_symbol
_atom_site_fract_x
_atom_site_fract_y
_atom_site_fract_z
Tm1 Tm 0.000 0.147 0.000
Tm2 Tm 0.150 0.498 0.304
Sb1 Sb 0.154 0.176 0.563
O1 O 0.000 0.422 0.061
# - Density: 8.9 g/cm³
# - Total energy: -0.2176 Ha/atom
# - Calculated volume: 571.6 Å³ per cell

---

(5)
# LiMo2Br | the Alexandria database | PBE | optimized geometry
data_LiMo2Br
_cell_length_a 6.210
_cell_length_b 6.210
_cell_length_c 6.210
_cell_angle_alpha 90.00
_cell_angle_beta 90.00
_cell_angle_gamma 90.00
_symmetry_space_group_name_H-M 'F m -3 m'
_symmetry_Int_Tables_number 225
_symmetry_space_group_name_Hall '-F 4 2 3'
loop_
_atom_site_label
_atom_site_type_symbol
_atom_site_fract_x
_atom_site_fract_y
_atom_site_fract_z
Li1 Li 0.000 0.000 0.000
Mo1 Mo 0.250 0.250 0.250
Br1 Br 0.000 0.000 0.500
# - Density: 7.7 g/cm³
# - Energy above the most stable polymorph in this dataset: 1018 meV per atom
# - Calculated volume: 239.5 Å³ per cell

---

(6)
# Tb6Dy3HoSc2 | the Alexandria database | PBE | optimized geometry
data_Tb6Dy3HoSc2
_cell_length_a 6.081
_cell_length_b 10.523
_cell_length_c 11.568
_cell_angle_alpha 90.00
_cell_angle_beta 100.05
_cell_angle_gamma 90.00
_symmetry_space_group_name_H-M 'C 1 2/m 1'
_symmetry_Int_Tables_number 12
loop_
_symmetry_equiv_pos_as_xyz
'x,y,z'
'-x,-y,-z'
'-x,y,-z'
'x,-y,z'
'x+1/2,y+1/2,z'
'-x+1/2,-y+1/2,-z'
'-x+1/2,y+1/2,-z'
'x+1/2,-y+1/2,z'
loop_
_atom_site_label
_atom_site_type_symbol
_atom_site_fract_x
_atom_site_fract_y
_atom_site_fract_z
Tb1 Tb 0.246 0.000 0.244
Tb2 Tb 0.250 0.168 0.756
Dy1 Dy 0.000 0.000 0.500
Dy2 Dy 0.000 0.333 0.500
Ho1 Ho 0.000 0.500 0.000
Sc1 Sc 0.000 0.167 0.000
# - Density: 7.7 g/cm³
# - ΔE_f: 0.035 eV per atom
# - Calculated volume: 728.9 Å³ per cell

---

(7)
# BaHgRu2 | the Alexandria database | PBE | optimized geometry
data_BaHgRu2
_cell_length_a 4.641
_cell_length_b 4.641
_cell_length_c 19.730
_cell_angle_alpha 90.00
_cell_angle_beta 90.00
_cell_angle_gamma 90.00
_symmetry_space_group_name_H-M 'I -4 2 d'
_symmetry_Int_Tables_number 122
_symmetry_space_group_name_Hall 'I -4 2bw'
loop_
_atom_site_label
_atom_site_type_symbol
_atom_site_fract_x
_atom_site_fract_y
_atom_site_fract_z
Ba1 Ba 0.000 0.000 0.000
Hg1 Hg 0.000 0.000 0.500
Ru1 Ru 0.091 0.250 0.625
# - Density: 8.4 g/cm³
# - ΔE_f: 0.632 eV per atom
# - Calculated volume: 425.0 Å³ per cell

---

(8)
# Li2CoPd | the Alexandria database | PBE | optimized geometry
data_Li2CoPd
_cell_length_a 2.6493
_cell_length_b 2.6493
_cell_length_c 27.2255
_cell_angle_alpha 90.00
_cell_angle_beta 90.00
_cell_angle_gamma 120.00
_symmetry_space_group_name_H-M 'R -3 m'
_symmetry_Int_Tables_number 166
_symmetry_space_group_name_Hall '-R 3 2"'
loop_
_atom_site_label
_atom_site_type_symbol
_atom_site_fract_x
_atom_site_fract_y
_atom_site_fract_z
Li1 Li 0.0000 0.0000 0.0874
Co1 Co 0.0000 0.0000 0.0000
Pd1 Pd 0.0000 0.0000 0.5000
# - Density: 5.4 g/cm³
# - Energy above the most stable polymorph in this dataset: 0 meV per atom
# - ΔE_f: 0.019 eV per atom
# - Calculated volume: 165.5 Å³ per cell